Record 1
Here is an optimized crystal structure of K2BeIn from the Alexandria database. Energies are from PBEsol.

Unit cell a=5.735 b=5.735 c=5.735 alpha=60.00 beta=60.00 gamma=60.00
Fractional positions:
In (0.500, 0.500, 0.500)
K (0.250, 0.250, 0.250)
K (0.750, 0.750, 0.750)
Be (0.000, 0.000, 0.000)

Summary:
As for the space group: Fm-3m, No. 225. The energy relative to the lowest polymorph listed for this composition is 420 meV/atom. Its total magnetization is 0.0 μB per cell. As for the formation energy: 0.70 eV/atom.

Record 2
Here is an optimized crystal structure of K3BeIn from the Alexandria database. Energies are from PBEsol.

Unit cell a=6.175 b=6.175 c=6.175 alpha=90.00 beta=90.00 gamma=90.00
Fractional positions:
In (0.500, 0.500, 0.500)
Be (0.000, 0.000, 0.000)
K (0.000, 0.000, 0.500)
K (0.500, 0.000, 0.000)
K (0.000, 0.500, 0.000)

Summary:
As for the space group: Pm-3m, No. 221. Its total magnetization is 0.0 μB per cell. As for the formation energy: 0.69 eV/atom.

Record 3
Here is an optimized crystal structure of K2BeIn from the Alexandria database. Energies are from PBEsol.

Unit cell a=3.676 b=3.676 c=10.114 alpha=90.00 beta=90.00 gamma=90.00
Fractional positions:
K (0.500, 0.500, 0.324)
K (0.000, 0.000, 0.923)
Be (0.000, 0.000, 0.595)
In (0.500, 0.500, 0.657)

Summary:
As for the space group: P4mm, No. 99. The energy relative to the lowest polymorph listed for this composition is 108 meV/atom. Its total magnetization is 0.0 μB per cell. As for the formation energy: 0.39 eV/atom.

Record 4
Here is an optimized crystal structure of KZr2BeIn from the Alexandria database. Energies are from PBEsol.

Unit cell a=4.541 b=5.477 c=5.477 alpha=90.00 beta=90.00 gamma=90.00
Fractional positions:
Zr (0.000, 0.000, 0.500)
Zr (0.000, 0.500, 0.000)
K (0.500, 0.500, 0.500)
Be (0.500, 0.000, 0.000)
In (0.000, 0.000, 0.000)

Summary:
As for the space group: P4/mmm, No. 123. Its total magnetization is 0.0 μB per cell. As for the formation energy: 1.17 eV/atom.

Record 5
Here is an optimized crystal structure of LaBeIn4 from the Alexandria database. Energies are from PBEsol.

Unit cell a=5.983 b=5.983 c=5.983 alpha=60.00 beta=60.00 gamma=60.00
Fractional positions:
In (0.876, 0.375, 0.375)
In (0.375, 0.876, 0.375)
In (0.375, 0.375, 0.876)
In (0.375, 0.375, 0.375)
Be (0.000, 0.000, 0.000)
La (0.750, 0.750, 0.750)

Summary:
As for the space group: F-43m, No. 216. Its total magnetization is 0.0 μB per cell. As for the formation energy: 0.19 eV/atom.

Record 6
Here is an optimized crystal structure of LaBeIn from the Alexandria database. Energies are from PBEsol.

Unit cell a=3.303 b=3.303 c=6.414 alpha=104.92 beta=104.92 gamma=90.00
Fractional positions:
La (0.348, 0.348, 0.697)
In (0.636, 0.636, 0.271)
Be (0.016, 0.016, 0.032)

Summary:
As for the space group: I4mm, No. 107. The energy relative to the lowest polymorph listed for this composition is 190 meV/atom. Its total magnetization is 0.0 μB per cell. As for the formation energy: 0.01 eV/atom.

Record 7
Here is an optimized crystal structure of LaBeIn from the Alexandria database. Energies are from PBEsol.

Unit cell a=3.955 b=4.523 c=4.523 alpha=120.00 beta=90.00 gamma=90.00
Fractional positions:
Be (0.000, 0.000, 0.000)
La (0.500, 0.667, 0.333)
In (0.000, 0.333, 0.667)

Summary:
As for the space group: P-6m2, No. 187. The energy relative to the lowest polymorph listed for this composition is 0 meV/atom. Its total magnetization is 0.0 μB per cell. As for the formation energy: -0.18 eV/atom.

Record 8
Here is an optimized crystal structure of Li2BeIn from the Alexandria database. Energies are from PBEsol.

Unit cell a=2.941 b=2.941 c=9.190 alpha=80.79 beta=80.79 gamma=60.00
Fractional positions:
In (0.000, 0.000, 0.000)
Li (0.757, 0.757, 0.728)
Li (0.243, 0.243, 0.272)
Be (0.500, 0.500, 0.500)

Summary:
As for the space group: R-3m, No. 166. The energy relative to the lowest polymorph listed for this composition is 205 meV/atom. Its total magnetization is 0.0 μB per cell. As for the formation energy: 0.24 eV/atom.

Record 9
Here is an optimized crystal structure of Li2BeIn from the Alexandria database. Energies are from PBEsol.

Unit cell a=3.517 b=4.015 c=4.264 alpha=90.00 beta=90.00 gamma=90.00
Fractional positions:
Li (0.000, 0.000, 0.000)
Li (0.500, 0.500, 0.000)
In (0.000, 0.500, 0.500)
Be (0.500, 0.000, 0.500)

Summary:
As for the space group: Pmmm, No. 47. The energy relative to the lowest polymorph listed for this composition is 0 meV/atom. Its total magnetization is 0.0 μB per cell. As for the formation energy: 0.03 eV/atom.

Record 10
Here is an optimized crystal structure of Li2BeIn from the Alexandria database. Energies are from PBEsol.

Unit cell a=4.339 b=4.339 c=4.339 alpha=60.00 beta=60.00 gamma=60.00
Fractional positions:
Li (0.750, 0.750, 0.750)
Li (0.250, 0.250, 0.250)
Be (0.000, 0.000, 0.000)
In (0.500, 0.500, 0.500)

Summary:
As for the space group: Fm-3m, No. 225. The energy relative to the lowest polymorph listed for this composition is 19 meV/atom. Its total magnetization is 0.0 μB per cell. As for the formation energy: 0.05 eV/atom.

Record 11
Here is an optimized crystal structure of LiBe2In from the Alexandria database. Energies are from PBEsol.

Unit cell a=3.019 b=3.900 c=4.949 alpha=90.00 beta=107.76 gamma=90.00
Fractional positions:
Be (0.069, 0.500, 0.138)
Be (0.181, 0.000, 0.361)
Li (0.782, 0.500, 0.564)
In (0.454, 0.000, 0.908)

Summary:
As for the space group: Amm2, No. 38. Its total magnetization is 0.0 μB per cell. As for the formation energy: 0.25 eV/atom.

Record 12
Here is an optimized crystal structure of MgBe2In from the Alexandria database. Energies are from PBEsol.

Unit cell a=3.010 b=3.010 c=8.450 alpha=79.74 beta=79.74 gamma=60.00
Fractional positions:
In (0.489, 0.489, 0.532)
Mg (0.262, 0.262, 0.214)
Be (0.011, 0.011, 0.967)
Be (0.738, 0.738, 0.787)

Summary:
As for the space group: R3m, No. 160. The energy relative to the lowest polymorph listed for this composition is 149 meV/atom. Its total magnetization is 0.0 μB per cell. As for the formation energy: 0.48 eV/atom.

So what do the calculations give for E? Going down the list: -1.6116, -1.3886, -1.9239, -4.0859, -3.3535, -4.0992, -4.2896, -2.4914, -2.6966, -2.6777, -2.9912, -2.6952 eV per atom.